No. 1
YTiB2 after structural relaxation. Source: the Alexandria database, functional PBE.

For the formation enthalpy at 0 K, the calculation gives 28.34 kJ per mole of atoms. The calculation puts the total magnetic moment at 2.53 μB/cell.

The structure belongs to space group Fm-3m (No. 225); the cell edges are 6.040, 6.040 and 6.040 Å and the angles 90.00°, 90.00° and 90.00°. Symmetry generates all atoms from Y at (0.000, 0.000, 0.000), Ti at (0.000, 0.000, 0.500) and B at (0.250, 0.250, 0.250).



No. 2
PmTm2 after structural relaxation. Source: the Alexandria database, functional PBE.

For the formation enthalpy at 0 K, the calculation gives 2.12 kJ per mole of atoms. The calculation puts the total magnetic moment at 0.00 μB/cell.

The structure belongs to space group C2/m (No. 12); the cell edges are 11.192, 4.990 and 3.549 Å and the angles 90.00°, 108.41° and 90.00°. Symmetry generates all atoms from Pm at (0.000, 0.000, 0.000) and Tm at (0.168, 0.500, 0.668).



No. 3
Np3Al2Ga9Au after structural relaxation. Source: the Alexandria database, functional PBE.

For the formation enthalpy at 0 K, the calculation gives 13.20 kJ per mole of atoms. The calculation puts the total magnetic moment at 13.10 μB/cell.

The structure belongs to space group P-3m1 (No. 164); the cell edges are 5.6971, 5.6971 and 12.3248 Å and the angles 90.00°, 90.00° and 120.00°. Symmetry generates all atoms from Np at (0.0000, 0.0000, 0.0000), Np at (0.3333, 0.6667, 0.7839), Al at (0.3333, 0.6667, 0.1640), Ga at (0.0000, 0.5000, 0.0000), Ga at (0.1640, 0.3279, 0.3297) and Au at (0.0000, 0.0000, 0.5000).



No. 4
Ca2La5Y after structural relaxation. Source: the Alexandria database, functional PBE.

For the formation enthalpy at 0 K, the calculation gives 4.02 kJ per mole of atoms. The calculation puts the total magnetic moment at 0.00 μB/cell.

The structure belongs to space group I4/mmm (No. 139); the cell edges are 5.258, 5.258 and 21.774 Å and the angles 90.00°, 90.00° and 90.00°. Symmetry generates all atoms from Ca at (0.000, 0.000, 0.249), La at (0.000, 0.000, 0.000), La at (0.000, 0.500, 0.118) and Y at (0.000, 0.000, 0.500).



No. 5
Li3Sn5Te12 after structural relaxation. Source: the Alexandria database, functional PBE.

The calculation puts the total magnetic moment at 0.00 μB/cell. The raw formation energy is -375 kJ/mol of formula units.

The structure belongs to space group Ia-3d (No. 230); the cell edges are 17.684, 17.684 and 17.684 Å and the angles 90.00°, 90.00° and 90.00°. Symmetry generates all atoms from Li at (0.000, 0.250, 0.125), Sn at (0.000, 0.000, 0.000), Sn at (0.000, 0.250, 0.375) and Te at (0.019, 0.073, 0.655).



No. 6
RbTl4Pb3 after structural relaxation. Source: the Alexandria database, functional PBE.

For the formation enthalpy at 0 K, the calculation gives -1.36 kJ per mole of atoms. The calculation puts the total magnetic moment at 0.00 μB/cell.

The structure belongs to space group Pmma (No. 51); the cell edges are 11.360, 7.735 and 6.038 Å and the angles 90.00°, 90.00° and 90.00°. Symmetry generates all atoms from Rb at (0.000, 0.000, 0.000), Tl at (0.000, 0.272, 0.500), Tl at (0.250, 0.275, 0.132), Pb at (0.000, 0.500, 0.000), Pb at (0.250, 0.000, 0.558) and Pb at (0.250, 0.500, 0.644).



No. 7
Ho5Te2Au after structural relaxation. Source: the Alexandria database, functional PBE.

The calculation puts the total magnetic moment at 0.01 μB/cell. The raw formation energy is -476 kJ/mol of formula units.

The structure belongs to space group Cmcm (No. 63); the cell edges are 5.914, 12.657 and 12.885 Å and the angles 90.00°, 90.00° and 90.00°. Symmetry generates all atoms from Ho at (0.000, 0.052, 0.113), Ho at (0.000, 0.367, 0.750), Ho at (0.000, 0.388, 0.078), Te at (0.000, 0.192, 0.583) and Au at (0.000, 0.232, 0.250).



No. 8
ScBe3Rh4 after structural relaxation. Source: the Alexandria database, functional PBE.

For the formation enthalpy at 0 K, the calculation gives -61.48 kJ per mole of atoms. The calculation puts the total magnetic moment at 0.00 μB/cell.

The structure belongs to space group R-3m (No. 166, hexagonal axes); the cell edges are 4.1264, 4.1264 and 20.1161 Å and the angles 90.00°, 90.00° and 120.00°. Symmetry generates all atoms from Sc at (0.0000, 0.0000, 0.0000), Be at (0.0000, 0.0000, 0.2482), Be at (0.0000, 0.0000, 0.5000), Rh at (0.0000, 0.0000, 0.1312) and Rh at (0.0000, 0.0000, 0.3830).



No. 9
KY2Pb after structural relaxation. Source: the Alexandria database, functional PBE.

For the formation enthalpy at 0 K, the calculation gives 11.36 kJ per mole of atoms. The calculation puts the total magnetic moment at 0.71 μB/cell.

The structure belongs to space group I-4m2 (No. 119); the cell edges are 4.836, 4.836 and 10.875 Å and the angles 90.00°, 90.00° and 90.00°. Symmetry generates all atoms from K at (0.000, 0.000, 0.000), Y at (0.000, 0.000, 0.500), Y at (0.000, 0.500, 0.250) and Pb at (0.000, 0.500, 0.750).



No. 10
Na3Tl7Pb2 after structural relaxation. Source: the Alexandria database, functional PBE.

For the formation enthalpy at 0 K, the calculation gives -3.48 kJ per mole of atoms. The calculation puts the total magnetic moment at 0.00 μB/cell.

The structure belongs to space group P2/m (No. 10); the cell edges are 5.735, 3.480 and 18.513 Å and the angles 90.00°, 95.06° and 90.00°. Symmetry generates all atoms from Na at (0.000, 0.000, 0.000), Na at (0.306, 0.500, 0.638), Tl at (0.158, 0.500, 0.142), Tl at (0.240, 0.000, 0.466), Tl at (0.339, 0.000, 0.820), Tl at (0.500, 0.500, 0.000) and Pb at (0.170, 0.000, 0.295).



No. 11
MnTcMo2 after structural relaxation. Source: the Alexandria database, functional PBE.

For the formation enthalpy at 0 K, the calculation gives 8.33 kJ per mole of atoms. The calculation puts the total magnetic moment at 4.70 μB/cell.

The structure belongs to space group C2/m (No. 12); the cell edges are 5.360, 8.706 and 2.674 Å and the angles 90.00°, 109.15° and 90.00°. Symmetry generates all atoms from Mn at (0.000, 0.000, 0.000), Tc at (0.000, 0.500, 0.000) and Mo at (0.250, 0.250, 0.500).



No. 12
AlZn2In after structural relaxation. Source: the Alexandria database, functional PBE.

For the formation enthalpy at 0 K, the calculation gives 10.40 kJ per mole of atoms. The calculation puts the total magnetic moment at 0.00 μB/cell.

The structure belongs to space group P4/mmm (No. 123); the cell edges are 2.989, 2.989 and 8.221 Å and the angles 90.00°, 90.00° and 90.00°. Symmetry generates all atoms from Al at (0.000, 0.000, 0.000), Zn at (0.500, 0.500, 0.226) and In at (0.000, 0.000, 0.500).



No. 13
Na3UMn2S6 after structural relaxation. Source: the Alexandria database, functional PBE.

The calculation puts the total magnetic moment at 18.13 μB/cell. The raw formation energy is -1238 kJ/mol of formula units.

The structure belongs to space group C2/m (No. 12); the cell edges are 6.541, 11.325 and 7.018 Å and the angles 90.00°, 108.09° and 90.00°. Symmetry generates all atoms from Na at (0.000, 0.000, 0.000), Na at (0.000, 0.333, 0.000), U at (0.000, 0.500, 0.500), Mn at (0.000, 0.167, 0.500), S at (0.236, 0.000, 0.717) and S at (0.240, 0.332, 0.718).



No. 14
La3Dy7Ho after structural relaxation. Source: the Alexandria database, functional PBE.

For the formation enthalpy at 0 K, the calculation gives 16.53 kJ per mole of atoms. The calculation puts the total magnetic moment at 0.00 μB/cell.

The structure belongs to space group P3m1 (No. 156); the cell edges are 7.1012, 7.1012 and 8.7786 Å and the angles 90.00°, 90.00° and 120.00°. Symmetry generates all atoms from La at (0.9999, 0.5000, 0.0000), Dy at (0.1673, 0.3346, 0.3399), Dy at (0.3333, 0.6667, 0.6589), Dy at (0.3347, 0.1673, 0.6597) and Ho at (0.6667, 0.3333, 0.3411).



No. 15
SrLi2CuPd after structural relaxation. Source: the Alexandria database, functional PBE.

For the formation enthalpy at 0 K, the calculation gives -10.74 kJ per mole of atoms. The calculation puts the total magnetic moment at 0.00 μB/cell.

The structure belongs to space group P4/mmm (No. 123); the cell edges are 4.709, 4.709 and 5.030 Å and the angles 90.00°, 90.00° and 90.00°. Symmetry generates all atoms from Sr at (0.000, 0.000, 0.000), Li at (0.000, 0.500, 0.500), Cu at (0.500, 0.500, 0.000) and Pd at (0.500, 0.500, 0.500).



No. 16
PmDy5Ho2Th after structural relaxation. Source: the Alexandria database, functional PBE.

For the formation enthalpy at 0 K, the calculation gives 15.98 kJ per mole of atoms. The calculation puts the total magnetic moment at 0.00 μB/cell.

The structure belongs to space group Cmc2_1 (No. 36); the cell edges are 5.633, 20.110 and 10.339 Å and the angles 90.00°, 90.00° and 90.00°. Symmetry generates all atoms from Pm at (0.000, 0.089, 0.000), Dy at (0.000, 0.023, 0.707), Dy at (0.000, 0.112, 0.418), Dy at (0.000, 0.202, 0.736), Dy at (0.000, 0.225, 0.126), Dy at (0.000, 0.484, 0.422), Ho at (0.000, 0.385, 0.713), Ho at (0.000, 0.387, 0.125) and Th at (0.000, 0.302, 0.428).



No. 17
MnSbCl3 after structural relaxation. Source: the Alexandria database, functional PBE.

The calculation puts the total magnetic moment at 4.61 μB/cell. The raw formation energy is -151 kJ/mol of formula units.

The structure belongs to space group Pm-3m (No. 221); the cell edges are 4.963, 4.963 and 4.963 Å and the angles 90.00°, 90.00° and 90.00°. Symmetry generates all atoms from Mn at (0.000, 0.000, 0.000), Sb at (0.500, 0.500, 0.500) and Cl at (0.000, 0.000, 0.500).



No. 18
TiAl2RhCl after structural relaxation. Source: the Alexandria database, functional PBE.

The calculation puts the total magnetic moment at 0.00 μB/cell. The raw formation energy is -80 kJ/mol of formula units.

The structure belongs to space group P4/mmm (No. 123); the cell edges are 4.754, 4.754 and 4.792 Å and the angles 90.00°, 90.00° and 90.00°. Symmetry generates all atoms from Ti at (0.000, 0.000, 0.000), Al at (0.000, 0.500, 0.500), Rh at (0.000, 0.000, 0.500) and Cl at (0.500, 0.500, 0.000).



No. 19
SmRh3 after structural relaxation. Source: the Alexandria database, functional PBE.

For the formation enthalpy at 0 K, the calculation gives -36.67 kJ per mole of atoms. The calculation puts the total magnetic moment at 0.00 μB/cell.

The structure belongs to space group P6_3/mmc (No. 194); the cell edges are 5.8998, 5.8998 and 4.6098 Å and the angles 90.00°, 90.00° and 120.00°. Symmetry generates all atoms from Sm at (0.3333, 0.6667, 0.2500) and Rh at (0.1550, 0.3099, 0.7500).



No. 20
CeGdCo4 after structural relaxation. Source: the Alexandria database, functional PBE.

For the formation enthalpy at 0 K, the calculation gives -17.80 kJ per mole of atoms. The calculation puts the total magnetic moment at 23.20 μB/cell.

The structure belongs to space group F-43m (No. 216); the cell edges are 7.115, 7.115 and 7.115 Å and the angles 90.00°, 90.00° and 90.00°. Symmetry generates all atoms from Ce at (0.000, 0.000, 0.000), Gd at (0.250, 0.250, 0.750) and Co at (0.125, 0.125, 0.375).